{
  "formula": "CuHgO2F",
  "functional": "PBE",
  "state": "relaxed",
  "lattice": [[4.153, 0.000, 0.000], [0.000, 4.153, 0.000], [0.000, 0.000, 4.448]],
  "species": ["Cu", "Hg", "O", "O", "F"],
  "fractional_positions": [[0.000, 0.000, 0.000], [0.500, 0.500, 0.500], [0.000, 0.500, 0.500], [0.500, 0.000, 0.500], [0.500, 0.500, 0.000]],
  "formation_energy_uncorrected_ev_per_atom": 0.2865,
  "final_energy_ev_per_atom": -2.95
}

{
  "formula": "AlOsAu3",
  "functional": "PBE",
  "state": "relaxed",
  "lattice": [[5.069, 0.000, 0.000], [0.000, 5.069, 0.000], [0.000, 0.000, 5.069]],
  "species": ["Al", "Os", "Au", "Au", "Au"],
  "fractional_positions": [[0.000, 0.000, 0.000], [0.500, 0.500, 0.500], [0.000, 0.500, 0.500], [0.500, 0.000, 0.500], [0.500, 0.500, 0.000]],
  "relative_energy_ev_per_fu": 0.00,
  "final_energy_ev_per_atom": -3.77,
  "e_form_kj_per_mol_atoms": 114.5
}

{
  "formula": "La3ZnIr8",
  "functional": "PBE",
  "state": "relaxed",
  "lattice": [[2.716, 1.568, 8.807], [-2.716, 1.568, 8.807], [0.000, -3.137, 8.807]],
  "species": ["La", "La", "La", "Zn", "Ir", "Ir", "Ir", "Ir", "Ir", "Ir", "Ir", "Ir"],
  "fractional_positions": [[0.000, 0.000, 0.000], [0.128, 0.128, 0.128], [0.618, 0.618, 0.618], [0.488, 0.488, 0.488], [0.062, 0.062, 0.559], [0.062, 0.559, 0.062], [0.065, 0.564, 0.564], [0.313, 0.313, 0.313], [0.559, 0.062, 0.062], [0.564, 0.065, 0.564], [0.564, 0.564, 0.065], [0.813, 0.813, 0.813]],
  "final_energy_ev_per_atom": -7.74,
  "e_form_kj_per_mol_atoms": -47.6
}

{
  "formula": "AcTbNd3",
  "functional": "PBE",
  "state": "relaxed",
  "lattice": [[3.665, 0.000, 0.000], [0.000, 7.096, 0.000], [0.000, 0.000, 14.375]],
  "species": ["Ac", "Ac", "Tb", "Tb", "Nd", "Nd", "Nd", "Nd", "Nd", "Nd"],
  "fractional_positions": [[0.250, 0.250, 0.018], [0.750, 0.750, 0.982], [0.250, 0.750, 0.402], [0.750, 0.250, 0.598], [0.250, 0.005, 0.782], [0.250, 0.250, 0.387], [0.250, 0.495, 0.782], [0.750, 0.505, 0.218], [0.750, 0.750, 0.613], [0.750, 0.995, 0.218]],
  "relative_energy_ev_per_fu": 0.58,
  "final_energy_ev_per_atom": -4.46,
  "e_form_kj_per_mol_atoms": 14.3
}

Computed N(E_F) (states/eV per atom) in order:
0.9403; 0.7805; 1.2329; 1.5254